Compound: Ce2InSn3
Source: Alexandria via LeMat-Bulk
Functional: PBE-GGA
Structure: optimized geometry

Unit cell a=4.4498 b=4.7793 c=7.9284 alpha=90.00 beta=106.30 gamma=90.00
Closest atoms and distances in Å follow each position.
Sites, in units of the cell vectors:
1 Sn 0.5000 0.5000 0.0000  4 Ce 3.19, 4 In 3.27
2 Ce 0.8496 0.5000 0.6992  8 Sn 3.19-3.57, 2 In 3.31
3 Sn 0.6756 0.0000 0.3512  2 Sn 3.17, 4 Ce 3.29, 2 In 3.48
4 In 0.0000 0.0000 0.0000  8 Sn 3.27-3.48, 4 Ce 3.31
5 Ce 0.1504 0.5000 0.3008  8 Sn 3.19-3.57, 2 In 3.31
6 Sn 0.3244 0.0000 0.6488  2 Sn 3.17, 4 Ce 3.29, 2 In 3.48

Results
energy of formation from the pure elements	-0.561	eV per atom

=====

Compound: Ce2In3Sn3
Source: Alexandria via LeMat-Bulk
Functional: PBE-GGA
Structure: optimized geometry

Unit cell a=4.6991 b=4.8087 c=9.2446 alpha=90.00 beta=90.00 gamma=90.00
Closest atoms and distances in Å follow each position.
Sites, in units of the cell vectors:
1 Sn 0.0000 0.5000 0.0000  4 Ce 3.31, 4 In 3.32, 4 Sn 3.36
2 In 0.5000 0.5000 0.2534  2 In 3.27, 6 Sn 3.31-3.36, 4 Ce 3.36
3 In 0.5000 0.5000 0.7466  2 In 3.27, 6 Sn 3.31-3.36, 4 Ce 3.36
4 In 0.0000 0.5000 0.5000  4 In 3.27, 4 Ce 3.36, 4 Sn 3.36
5 Ce 0.0000 0.0000 0.2461  6 Sn 3.27-3.32, 6 In 3.36
6 Ce 0.0000 0.0000 0.7539  6 Sn 3.27-3.32, 6 In 3.36
7 Sn 0.5000 0.0000 0.5000  8 In 3.31-3.36, 4 Ce 3.32
8 Sn 0.5000 0.0000 0.0000  4 Ce 3.27, 4 In 3.36, 4 Sn 3.36

Results
energy of formation from the pure elements	-0.492	eV per atom

=====

| no. | total DFT energy (no corrections) (eV/f.u.) | Fermi-level density of states (states/eV/atom) | E above lowest polymorph (meV per atom) |
| --- | --- | --- | --- |
| 1 | -30.0 | 1.81 | 0 |
| 2 | -36.0 | 1.38 | 4 |